1.
PmSm12Ho7, optimized geometry, DFT PBE; electronic total energy = -79.78 eV for the cell shown; formation energy from the elements = 682 meV/atom; M_tot = 0.000 μB/f.u.; polymorph energy (0 for the lowest one) = 578 meV/atom
1.0
-8.6581 -2.3767 4.2461
6.2824 -7.6523 0.7832
3.8588 7.9319 4.5646
Ho Sm Pm
7 12 1
Cartesian
-4.3290 -1.1884 2.1230
3.1412 -3.8262 0.3916
1.9294 3.9659 2.2823
-1.1878 -5.0145 2.5147
5.0706 0.1398 2.6739
0.7416 -1.0486 4.7969
-2.3996 2.7776 4.4053
-5.4862 0.2271 4.3321
1.3441 1.4794 3.5850
6.9694 -2.3243 5.2618
3.2977 -0.9568 6.0932
2.5040 -6.3142 1.6670
-1.8146 -1.1404 3.5006
4.4684 3.9855 3.6148
-2.9853 -6.0827 5.9791
-1.0209 4.2169 7.9269
0.1390 -3.5766 6.0089
1.9718 -2.4620 2.6264
-0.4887 0.3648 6.9675
0.0000 0.0000 0.0000

2.
PmSmHo, optimized geometry, DFT PBE; electronic total energy = -13.99 eV for the cell shown; formation energy from the elements = 19 meV/atom; M_tot = 0.000 μB/f.u.; polymorph energy (0 for the lowest one) = 3 meV/atom
1.0
3.6272 0.0098 0.0167
1.8026 3.0804 0.6119
-0.0341 0.4002 8.9838
Pm Ho Sm
1 1 1
Cartesian
0.7425 0.9837 5.6856
4.3528 2.4833 8.9418
2.5685 0.4958 2.5639

3.
PmSm6Ho5, optimized geometry, DFT PBE; electronic total energy = -55.74 eV for the cell shown; formation energy from the elements = 18 meV/atom; M_tot = 0.000 μB/f.u.
1.0
-4.7841 -1.6932 -0.0086
-0.0962 0.3247 -10.1178
4.9783 -6.4861 4.8089
Sm Ho Pm
6 5 1
Cartesian
-2.4640 -0.6036 -7.5757
0.8230 -2.3117 -2.6244
-0.7250 -5.5428 -2.6931
0.7751 -2.1500 -7.6631
-2.4163 -0.7649 -2.5506
-0.6771 -5.7045 2.3457
1.6407 -4.6085 -5.2280
-0.0481 0.1624 -5.0589
-1.5427 -3.2460 -0.0894
1.6911 -4.7774 -0.1694
-1.5931 -3.0771 -5.1480
0.0000 0.0000 0.0000

Number 1: V 37.71 Å³ per atom. Number 2: V 33.12 Å³ per atom. Number 3: V 32.58 Å³ per atom.